Compound: NdTm3Te2
Source: the Alexandria database
Functional: PBE
Structure: relaxed

Lattice parameters (Å, degrees): 4.1220 8.4418 11.2963 108.73 90.00 104.13
Sites, in units of the cell vectors:
Nd 0.8800 0.7601 0.9546
Nd 0.1200 0.2399 0.0454
Tm 0.2838 0.5677 0.6201
Tm 0.9403 0.8805 0.5957
Tm 0.6240 0.2480 0.6589
Tm 0.3760 0.7520 0.3411
Tm 0.0597 0.1195 0.4043
Tm 0.7162 0.4323 0.3799
Te 0.4839 0.9679 0.8259
Te 0.5161 0.0321 0.1741
Te 0.7729 0.5458 0.1481
Te 0.2271 0.4542 0.8519

The calculation puts the total energy at -4.9182 eV per atom. Its formation energy from raw total energies is -487 kJ/mol of formula units.